# ReHgPt PBE optimized geometry
# D(E_F) (states/eV per atom): 1.3451
# DFT formation energy (eV/atom): 0.34
data_ReHgPt
_symmetry_space_group_name_H-M 'I 4 m m'
_symmetry_Int_Tables_number 107
_symmetry_space_group_name_Hall 'I 4 -2'
_cell_length_a 2.847
_cell_length_b 2.847
_cell_length_c 12.615
_cell_angle_alpha 90.00
_cell_angle_beta 90.00
_cell_angle_gamma 90.00
loop_
_atom_site_label
_atom_site_fract_x
_atom_site_fract_y
_atom_site_fract_z
Re1 0.000 0.000 0.000
Hg1 0.000 0.000 0.677
Pt1 0.000 0.000 0.360